# PrDyNi2P2

A geometry-optimized PrDyNi2P2 structure (GGA-PBE, Alexandria).

Cell: 3.931 3.931 7.983 Å, 90.00 90.00 120.00°
Fractional coordinates of all 6 atoms:
Pr 0.000 0.000 0.000
Dy 0.000 0.000 0.500
Ni 0.667 0.333 0.259
Ni 0.333 0.667 0.741
P 0.667 0.333 0.738
P 0.333 0.667 0.262

Computed properties:
- mass density (g/cm3) = 7.503
- formation energy from the elements (eV per atom) = -1.18